--- one ---
TaTlCu2Re | GGA-PBE | relaxed

Computed properties:
calculated volume	21.3	Å³/atom

extended XYZ file:
```
5
Lattice="4.578 0.000 0.000 0.000 5.082 0.000 0.000 0.000 4.578" Properties=species:S:1:pos:R:3 pbc="T T T"
Ta 2.289 2.541 2.289
Tl 0.000 2.541 0.000
Re 0.000 0.000 0.000
Cu 0.000 0.000 2.289
Cu 2.289 0.000 0.000
```

***

--- two ---
TaTlCu2Re | GGA-PBE | relaxed

Computed properties:
calculated volume	21.0	Å³/atom

extended XYZ file:
```
5
Lattice="4.522 0.000 0.000 0.000 5.133 0.000 0.000 0.000 4.522" Properties=species:S:1:pos:R:3 pbc="T T T"
Re 0.000 2.566 0.000
Cu 2.261 0.000 0.000
Cu 0.000 0.000 2.261
Tl 0.000 0.000 0.000
Ta 2.261 2.566 2.261
```

***

Name the most stable of them. one.